# 1
{
  "formula": "Al2TlRe",
  "functional": "GGA-PBEsol",
  "state": "optimized geometry",
  "cell": [[3.449, 0.000, 0.000], [0.000, 3.449, 0.000], [0.000, 0.000, 5.645]],
  "species": ["Al", "Al", "Tl", "Re"],
  "frac_coords": [[0.000, 0.000, 0.000], [0.500, 0.500, 0.259], [0.500, 0.500, 0.743], [0.000, 0.000, 0.442]],
  "ef_mev_per_atom": 282,
  "sg": "P4mm, No. 99",
  "e_above_lowest_polymorph_kj_per_mol_fu": 0,
  "vol_a3_per_atom": 16.8
}

---

# 2
{
  "formula": "TmAl10Re2",
  "functional": "GGA-PBEsol",
  "state": "optimized geometry",
  "cell": [[4.610, -5.127, 0.000], [4.610, 5.127, 0.000], [0.000, 0.000, 26.734]],
  "species": ["Tm", "Tm", "Tm", "Tm", "Tm", "Tm", "Al", "Al", "Al", "Al", "Al", "Al", "Al", "Al", "Al", "Al", "Al", "Al", "Al", "Al", "Al", "Al", "Al", "Al", "Al", "Al", "Al", "Al", "Al", "Al", "Al", "Al", "Al", "Al", "Al", "Al", "Al", "Al", "Al", "Al", "Al", "Al", "Al", "Al", "Al", "Al", "Al", "Al", "Al", "Al", "Al", "Al", "Al", "Al", "Al", "Al", "Al", "Al", "Al", "Al", "Al", "Al", "Al", "Al", "Al", "Al", "Re", "Re", "Re", "Re", "Re", "Re", "Re", "Re", "Re", "Re", "Re", "Re"],
  "frac_coords": [[0.118, 0.882, 0.750], [0.375, 0.625, 0.585], [0.375, 0.625, 0.915], [0.625, 0.375, 0.085], [0.625, 0.375, 0.415], [0.882, 0.118, 0.250], [0.028, 0.533, 0.671], [0.028, 0.533, 0.829], [0.030, 0.273, 0.581], [0.030, 0.273, 0.919], [0.097, 0.903, 0.634], [0.097, 0.903, 0.866], [0.100, 0.321, 0.750], [0.120, 0.377, 0.083], [0.120, 0.377, 0.417], [0.123, 0.877, 0.522], [0.123, 0.877, 0.978], [0.130, 0.870, 0.179], [0.130, 0.870, 0.321], [0.237, 0.464, 0.250], [0.273, 0.030, 0.081], [0.273, 0.030, 0.419], [0.295, 0.295, 0.000], [0.295, 0.295, 0.500], [0.321, 0.100, 0.250], [0.335, 0.665, 0.034], [0.335, 0.665, 0.466], [0.375, 0.625, 0.145], [0.375, 0.625, 0.355], [0.377, 0.120, 0.583], [0.377, 0.120, 0.917], [0.407, 0.593, 0.700], [0.407, 0.593, 0.800], [0.464, 0.237, 0.750], [0.467, 0.972, 0.671], [0.467, 0.972, 0.829], [0.533, 0.028, 0.171], [0.533, 0.028, 0.329], [0.536, 0.763, 0.250], [0.593, 0.407, 0.200], [0.593, 0.407, 0.300], [0.623, 0.880, 0.083], [0.623, 0.880, 0.417], [0.625, 0.375, 0.645], [0.625, 0.375, 0.855], [0.665, 0.335, 0.534], [0.665, 0.335, 0.966], [0.679, 0.900, 0.750], [0.705, 0.705, 0.000], [0.705, 0.705, 0.500], [0.727, 0.970, 0.581], [0.727, 0.970, 0.919], [0.763, 0.536, 0.750], [0.870, 0.130, 0.679], [0.870, 0.130, 0.821], [0.877, 0.123, 0.022], [0.877, 0.123, 0.478], [0.880, 0.623, 0.583], [0.880, 0.623, 0.917], [0.900, 0.679, 0.250], [0.903, 0.097, 0.134], [0.903, 0.097, 0.366], [0.970, 0.727, 0.081], [0.970, 0.727, 0.419], [0.972, 0.467, 0.171], [0.972, 0.467, 0.329], [0.000, 0.500, 0.000], [0.000, 0.500, 0.500], [0.245, 0.251, 0.663], [0.245, 0.251, 0.837], [0.251, 0.245, 0.163], [0.251, 0.245, 0.337], [0.500, 0.000, 0.000], [0.500, 0.000, 0.500], [0.749, 0.755, 0.663], [0.749, 0.755, 0.837], [0.755, 0.749, 0.163], [0.755, 0.749, 0.337]],
  "ef_mev_per_atom": -341,
  "sg": "Cmcm, No. 63",
  "vol_a3_per_atom": 16.2
}

---

# 3
{
  "formula": "AlReW2",
  "functional": "GGA-PBEsol",
  "state": "optimized geometry",
  "cell": [[-1.561, 2.159, 4.428], [1.561, -2.159, 4.428], [1.561, 2.159, -4.428]],
  "species": ["Al", "Re", "W", "W"],
  "frac_coords": [[0.000, 0.000, 0.000], [0.500, 0.500, 0.000], [0.257, 0.757, 0.500], [0.743, 0.243, 0.500]],
  "ef_mev_per_atom": -74,
  "sg": "Immm, No. 71",
  "vol_a3_per_atom": 14.9
}

---

# 4
{
  "formula": "AlReW2",
  "functional": "GGA-PBEsol",
  "state": "optimized geometry",
  "cell": [[-1.892, 1.892, 4.198], [1.892, -1.892, 4.198], [1.892, 1.892, -4.198]],
  "species": ["Al", "Re", "W", "W"],
  "frac_coords": [[0.000, 0.000, 0.000], [0.500, 0.500, 0.000], [0.250, 0.750, 0.500], [0.750, 0.250, 0.500]],
  "ef_mev_per_atom": 142,
  "sg": "I4/mmm, No. 139",
  "vol_a3_per_atom": 15.0
}

---

# 5
{
  "formula": "YAl10Re2",
  "functional": "GGA-PBEsol",
  "state": "optimized geometry",
  "cell": [[4.615, -5.138, 0.000], [4.615, 5.138, 0.000], [0.000, 0.000, 26.809]],
  "species": ["Y", "Y", "Y", "Y", "Y", "Y", "Al", "Al", "Al", "Al", "Al", "Al", "Al", "Al", "Al", "Al", "Al", "Al", "Al", "Al", "Al", "Al", "Al", "Al", "Al", "Al", "Al", "Al", "Al", "Al", "Al", "Al", "Al", "Al", "Al", "Al", "Al", "Al", "Al", "Al", "Al", "Al", "Al", "Al", "Al", "Al", "Al", "Al", "Al", "Al", "Al", "Al", "Al", "Al", "Al", "Al", "Al", "Al", "Al", "Al", "Al", "Al", "Al", "Al", "Al", "Al", "Re", "Re", "Re", "Re", "Re", "Re", "Re", "Re", "Re", "Re", "Re", "Re"],
  "frac_coords": [[0.119, 0.881, 0.750], [0.375, 0.625, 0.585], [0.375, 0.625, 0.915], [0.625, 0.375, 0.085], [0.625, 0.375, 0.415], [0.881, 0.119, 0.250], [0.027, 0.532, 0.671], [0.027, 0.532, 0.829], [0.029, 0.273, 0.581], [0.029, 0.273, 0.919], [0.095, 0.905, 0.633], [0.095, 0.905, 0.867], [0.102, 0.324, 0.750], [0.120, 0.377, 0.083], [0.120, 0.377, 0.417], [0.122, 0.878, 0.522], [0.122, 0.878, 0.978], [0.130, 0.870, 0.179], [0.130, 0.870, 0.321], [0.237, 0.464, 0.250], [0.273, 0.029, 0.081], [0.273, 0.029, 0.419], [0.293, 0.293, 0.000], [0.293, 0.293, 0.500], [0.324, 0.102, 0.250], [0.335, 0.665, 0.034], [0.335, 0.665, 0.466], [0.375, 0.625, 0.145], [0.375, 0.625, 0.355], [0.377, 0.120, 0.583], [0.377, 0.120, 0.917], [0.408, 0.592, 0.700], [0.408, 0.592, 0.800], [0.464, 0.237, 0.750], [0.468, 0.973, 0.671], [0.468, 0.973, 0.829], [0.532, 0.027, 0.171], [0.532, 0.027, 0.329], [0.536, 0.763, 0.250], [0.592, 0.408, 0.200], [0.592, 0.408, 0.300], [0.623, 0.880, 0.083], [0.623, 0.880, 0.417], [0.625, 0.375, 0.645], [0.625, 0.375, 0.855], [0.665, 0.335, 0.534], [0.665, 0.335, 0.966], [0.676, 0.898, 0.750], [0.707, 0.707, 0.000], [0.707, 0.707, 0.500], [0.727, 0.971, 0.581], [0.727, 0.971, 0.919], [0.763, 0.536, 0.750], [0.870, 0.130, 0.679], [0.870, 0.130, 0.821], [0.878, 0.122, 0.022], [0.878, 0.122, 0.478], [0.880, 0.623, 0.583], [0.880, 0.623, 0.917], [0.898, 0.676, 0.250], [0.905, 0.095, 0.133], [0.905, 0.095, 0.367], [0.971, 0.727, 0.081], [0.971, 0.727, 0.419], [0.973, 0.468, 0.171], [0.973, 0.468, 0.329], [0.000, 0.500, 0.000], [0.000, 0.500, 0.500], [0.245, 0.251, 0.663], [0.245, 0.251, 0.837], [0.251, 0.245, 0.163], [0.251, 0.245, 0.337], [0.500, 0.000, 0.000], [0.500, 0.000, 0.500], [0.749, 0.755, 0.663], [0.749, 0.755, 0.837], [0.755, 0.749, 0.163], [0.755, 0.749, 0.337]],
  "ef_mev_per_atom": -352,
  "sg": "Cmcm, No. 63",
  "vol_a3_per_atom": 16.3
}

---

# 6
{
  "formula": "YAlRe2",
  "functional": "GGA-PBEsol",
  "state": "optimized geometry",
  "cell": [[1.414, 0.816, 9.558], [-1.414, 0.816, 9.558], [0.000, -1.632, 9.558]],
  "species": ["Y", "Al", "Re", "Re"],
  "frac_coords": [[0.000, 0.000, 0.000], [0.500, 0.500, 0.500], [0.241, 0.241, 0.241], [0.759, 0.759, 0.759]],
  "ef_mev_per_atom": 397,
  "sg": "R-3m, No. 166",
  "vol_a3_per_atom": 16.5
}

---

# 7
{
  "formula": "YAl3Re",
  "functional": "GGA-PBEsol",
  "state": "optimized geometry",
  "cell": [[4.714, 0.000, 0.000], [0.000, 4.714, 0.000], [0.000, 0.000, 4.714]],
  "species": ["Y", "Al", "Al", "Al", "Re"],
  "frac_coords": [[0.000, 0.000, 0.000], [0.000, 0.500, 0.500], [0.500, 0.000, 0.500], [0.500, 0.500, 0.000], [0.500, 0.500, 0.500]],
  "ef_mev_per_atom": -56,
  "sg": "Pm-3m, No. 221",
  "vol_a3_per_atom": 20.9
}

---

# 8
{
  "formula": "YAlRe2",
  "functional": "GGA-PBEsol",
  "state": "optimized geometry",
  "cell": [[1.439, 0.831, 9.575], [-1.439, 0.831, 9.575], [0.000, -1.662, 9.575]],
  "species": ["Y", "Al", "Re", "Re"],
  "frac_coords": [[0.000, 0.000, 0.000], [0.762, 0.762, 0.762], [0.241, 0.241, 0.241], [0.503, 0.503, 0.503]],
  "ef_mev_per_atom": 232,
  "sg": "R3m, No. 160",
  "vol_a3_per_atom": 17.2
}